Computed, not measured: LiPb3 after structural relaxation at the GGA-PBE level of DFT.

Unit cell a=3.4768 b=5.4574 c=6.0426 alpha=90.00 beta=90.00 gamma=90.00
Last column: nearest neighbours and their distance in Å.
Element x y z (fractional)
Li (0.0000, 0.0000, 0.0000)  10 Pb 3.36-3.58, 2 Li 3.48
Pb (0.0000, 0.5000, 0.3236)  2 Li 3.36, 10 Pb 3.38-3.59
Pb (0.5000, 0.0000, 0.5188)  8 Pb 3.36-3.48, 4 Li 3.39-3.58
Pb (0.5000, 0.5000, 0.8443)  8 Pb 3.36-3.59, 4 Li 3.37

Summary:
E_form ... -0.0782 eV per atom
N(E_F) ... 1.9 states/eV/f.u.
Spin magnetization ... 0.00 μB per cell
Space group ... Pmm2 (25)